Model a:
Pu2Ga6Ru: optimized geometry, GGA-PBE.

## Properties
Crystal system: cubic

Unit cell a=8.797 b=8.797 c=8.797 alpha=90.00 beta=90.00 gamma=90.00
Space group Fm-3m (No. 225)
Inequivalent atoms, fractional coordinates:
Pu 0.250 0.250 0.250 [8 per cell]
Ga 0.000 0.000 0.218 [24 per cell]
Ru 0.000 0.000 0.500 [4 per cell]

Model b:
Pu2Ga6Ru: optimized geometry, GGA-PBE.

## Properties
Crystal system: monoclinic

Unit cell a=9.012 b=8.451 c=5.069 alpha=90.00 beta=115.90 gamma=90.00
Space group C2/m (No. 12)
Inequivalent atoms, fractional coordinates:
Pu 0.171 0.000 0.280 [4 per cell]
Ga 0.000 0.353 0.000 [4 per cell]
Ga 0.139 0.200 0.734 [8 per cell]
Ru 0.000 0.500 0.500 [2 per cell]

Which of them is the most stable, and which is the least stable? model a and model b, in that order.

Model a:
Pu3Ga3Ru2: optimized geometry, GGA-PBE.

## Properties
Crystal system: hexagonal

Unit cell a=7.1974 b=7.1974 c=3.0174 alpha=90.00 beta=90.00 gamma=120.00
Space group P-62m (No. 189)
Inequivalent atoms, fractional coordinates:
Pu 0.0000 0.1897 0.0000 [3 per cell]
Ga 0.0000 0.5639 0.5000 [3 per cell]
Ru 0.3333 0.6667 0.0000 [2 per cell]

Model b:
Pu3Ga3Ru2: optimized geometry, GGA-PBE.

## Properties
Crystal system: orthorhombic

Unit cell a=7.712 b=14.739 c=5.695 alpha=90.00 beta=90.00 gamma=90.00
Space group Pnma (No. 62)
Inequivalent atoms, fractional coordinates:
Pu 0.033 0.106 0.096 [8 per cell]
Pu 0.152 0.250 0.636 [4 per cell]
Ga 0.165 0.034 0.580 [8 per cell]
Ga 0.183 0.750 0.648 [4 per cell]
Ru 0.126 0.619 0.353 [8 per cell]

Which of them is the most stable, and which is the least stable? model b and model a, in that order.

Model a:
Pu2Ga5Ru: optimized geometry, GGA-PBE.

## Properties
Crystal system: orthorhombic

Unit cell a=4.129 b=16.691 c=9.134 alpha=90.00 beta=90.00 gamma=90.00
Space group Cmcm (No. 63)
Inequivalent atoms, fractional coordinates:
Pu 0.000 0.000 0.000 [4 per cell]
Pu 0.000 0.185 0.250 [4 per cell]
Ga 0.000 0.196 0.610 [8 per cell]
Ga 0.000 0.357 0.520 [8 per cell]
Ga 0.000 0.412 0.250 [4 per cell]
Ru 0.000 0.439 0.750 [4 per cell]

Model b:
Pu2Ga5Ru: optimized geometry, GGA-PBE.

## Properties
Crystal system: tetragonal

Unit cell a=3.673 b=3.673 c=18.582 alpha=90.00 beta=90.00 gamma=90.00
Space group I4/mmm (No. 139)
Inequivalent atoms, fractional coordinates:
Pu 0.000 0.000 0.245 [4 per cell]
Ga 0.000 0.000 0.000 [2 per cell]
Ga 0.000 0.500 0.117 [8 per cell]
Ru 0.000 0.000 0.500 [2 per cell]

Which of them is the most stable, and which is the least stable? model a and model b, in that order.

Model a:
PuGaSb2: optimized geometry, GGA-PBE.

## Properties
Crystal system: trigonal

Unit cell a=4.8870 b=4.8870 c=23.7727 alpha=90.00 beta=90.00 gamma=120.00
Space group R-3m (No. 166, hexagonal axes)
Inequivalent atoms, fractional coordinates:
Pu 0.0000 0.0000 0.0000 [3 per cell]
Ga 0.0000 0.0000 0.5000 [3 per cell]
Sb 0.0000 0.0000 0.3937 [6 per cell]

Model b:
PuGaSb2: optimized geometry, GGA-PBE.

## Properties
Crystal system: tetragonal

Unit cell a=4.657 b=4.657 c=4.432 alpha=90.00 beta=90.00 gamma=90.00
Space group P4/mmm (No. 123)
Inequivalent atoms, fractional coordinates:
Pu 0.000 0.000 0.000 [1 per cell]
Ga 0.500 0.500 0.000 [1 per cell]
Sb 0.000 0.500 0.500 [2 per cell]

Which of them is the most stable, and which is the least stable? model b and model a, in that order.

Model a:
PuSc2Ga: optimized geometry, GGA-PBE.

## Properties
Crystal system: trigonal

Unit cell a=3.2867 b=3.2867 c=29.3732 alpha=90.00 beta=90.00 gamma=120.00
Space group R-3m (No. 166, hexagonal axes)
Inequivalent atoms, fractional coordinates:
Pu 0.0000 0.0000 0.0000 [3 per cell]
Sc 0.0000 0.0000 0.2405 [6 per cell]
Ga 0.0000 0.0000 0.5000 [3 per cell]

Model b:
PuSc2Ga: optimized geometry, GGA-PBE.

## Properties
Crystal system: tetragonal

Unit cell a=4.525 b=4.525 c=4.309 alpha=90.00 beta=90.00 gamma=90.00
Space group P4/mmm (No. 123)
Inequivalent atoms, fractional coordinates:
Pu 0.000 0.000 0.000 [1 per cell]
Sc 0.000 0.500 0.500 [2 per cell]
Ga 0.500 0.500 0.000 [1 per cell]

Model c:
PuSc2Ga: optimized geometry, GGA-PBE.

## Properties
Crystal system: tetragonal

Unit cell a=3.238 b=3.238 c=8.360 alpha=90.00 beta=90.00 gamma=90.00
Space group P4/mmm (No. 123)
Inequivalent atoms, fractional coordinates:
Pu 0.000 0.000 0.000 [1 per cell]
Sc 0.500 0.500 0.285 [2 per cell]
Ga 0.000 0.000 0.500 [1 per cell]

Model d:
PuSc2Ga: optimized geometry, GGA-PBE.

## Properties
Crystal system: cubic

Unit cell a=7.105 b=7.105 c=7.105 alpha=90.00 beta=90.00 gamma=90.00
Space group F-43m (No. 216)
Inequivalent atoms, fractional coordinates:
Pu 0.000 0.000 0.000 [4 per cell]
Sc 0.000 0.000 0.500 [4 per cell]
Sc 0.250 0.250 0.750 [4 per cell]
Ga 0.250 0.250 0.250 [4 per cell]

Which of them is the most stable, and which is the least stable? model c and model d, in that order.

Model a:
PuScGa2: optimized geometry, GGA-PBE.

## Properties
Crystal system: tetragonal

Unit cell a=5.257 b=5.257 c=3.018 alpha=90.00 beta=90.00 gamma=90.00
Space group P4/mmm (No. 123)
Inequivalent atoms, fractional coordinates:
Pu 0.000 0.000 0.000 [1 per cell]
Sc 0.500 0.500 0.000 [1 per cell]
Ga 0.000 0.500 0.500 [2 per cell]

Model b:
PuScGa2: optimized geometry, GGA-PBE.

## Properties
Crystal system: trigonal

Unit cell a=3.3272 b=3.3272 c=27.5283 alpha=90.00 beta=90.00 gamma=120.00
Space group R-3m (No. 166, hexagonal axes)
Inequivalent atoms, fractional coordinates:
Pu 0.0000 0.0000 0.0000 [3 per cell]
Sc 0.0000 0.0000 0.5000 [3 per cell]
Ga 0.0000 0.0000 0.2449 [6 per cell]

Model c:
PuScGa2: optimized geometry, GGA-PBE.

## Properties
Crystal system: cubic

Unit cell a=6.942 b=6.942 c=6.942 alpha=90.00 beta=90.00 gamma=90.00
Space group Fm-3m (No. 225)
Inequivalent atoms, fractional coordinates:
Pu 0.000 0.000 0.000 [4 per cell]
Sc 0.000 0.000 0.500 [4 per cell]
Ga 0.250 0.250 0.250 [8 per cell]

Model d:
PuScGa2: optimized geometry, GGA-PBE.

## Properties
Crystal system: tetragonal

Unit cell a=3.106 b=3.106 c=8.376 alpha=90.00 beta=90.00 gamma=90.00
Space group P4/mmm (No. 123)
Inequivalent atoms, fractional coordinates:
Pu 0.000 0.000 0.000 [1 per cell]
Sc 0.000 0.000 0.500 [1 per cell]
Ga 0.500 0.500 0.265 [2 per cell]

Which of them is the most stable, and which is the least stable? model d and model b, in that order.

Model a:
Pu2ScGa9: optimized geometry, GGA-PBE.

## Properties
Crystal system: trigonal

Unit cell a=5.4157 b=5.4157 c=27.4554 alpha=90.00 beta=90.00 gamma=120.00
Space group R-3m (No. 166, hexagonal axes)
Inequivalent atoms, fractional coordinates:
Pu 0.0000 0.0000 0.1428 [6 per cell]
Sc 0.0000 0.0000 0.0000 [3 per cell]
Ga 0.0000 0.0000 0.3340 [6 per cell]
Ga 0.0000 0.0000 0.5000 [3 per cell]
Ga 0.0048 0.5024 0.9165 [18 per cell]

Model b:
Pu2ScGa9: optimized geometry, GGA-PBE.

## Properties
Crystal system: tetragonal

Unit cell a=4.238 b=4.238 c=12.641 alpha=90.00 beta=90.00 gamma=90.00
Space group P4/mmm (No. 123)
Inequivalent atoms, fractional coordinates:
Pu 0.000 0.000 0.172 [2 per cell]
Sc 0.000 0.000 0.500 [1 per cell]
Ga 0.000 0.500 0.000 [2 per cell]
Ga 0.000 0.500 0.340 [4 per cell]
Ga 0.500 0.500 0.166 [2 per cell]
Ga 0.500 0.500 0.500 [1 per cell]

Which of them is the most stable, and which is the least stable? model b and model a, in that order.

Model a:
PuGaSi2: optimized geometry, GGA-PBE.

## Properties
Crystal system: tetragonal

Unit cell a=3.462 b=3.462 c=6.131 alpha=90.00 beta=90.00 gamma=90.00
Space group P4/mmm (No. 123)
Inequivalent atoms, fractional coordinates:
Pu 0.000 0.000 0.000 [1 per cell]
Ga 0.000 0.000 0.500 [1 per cell]
Si 0.500 0.500 0.302 [2 per cell]

Model b:
PuGaSi2: optimized geometry, GGA-PBE.

## Properties
Crystal system: tetragonal

Unit cell a=4.172 b=4.172 c=4.041 alpha=90.00 beta=90.00 gamma=90.00
Space group P4/mmm (No. 123)
Inequivalent atoms, fractional coordinates:
Pu 0.000 0.000 0.000 [1 per cell]
Ga 0.500 0.500 0.000 [1 per cell]
Si 0.000 0.500 0.500 [2 per cell]

Which of them is the most stable, and which is the least stable? model b and model a, in that order.

Model a:
SmPu2Ga: optimized geometry, GGA-PBE.

## Properties
Crystal system: tetragonal

Unit cell a=4.450 b=4.450 c=5.051 alpha=90.00 beta=90.00 gamma=90.00
Space group P4/mmm (No. 123)
Inequivalent atoms, fractional coordinates:
Sm 0.000 0.000 0.000 [1 per cell]
Pu 0.000 0.500 0.500 [2 per cell]
Ga 0.500 0.500 0.000 [1 per cell]

Model b:
SmPu2Ga: optimized geometry, GGA-PBE.

## Properties
Crystal system: cubic

Unit cell a=7.409 b=7.409 c=7.409 alpha=90.00 beta=90.00 gamma=90.00
Space group Fm-3m (No. 225)
Inequivalent atoms, fractional coordinates:
Sm 0.000 0.000 0.000 [4 per cell]
Pu 0.250 0.250 0.250 [8 per cell]
Ga 0.000 0.000 0.500 [4 per cell]

Which of them is the most stable, and which is the least stable? model a and model b, in that order.

Model a:
PuGaSn2: optimized geometry, GGA-PBE.

## Properties
Crystal system: tetragonal

Unit cell a=4.516 b=4.516 c=4.612 alpha=90.00 beta=90.00 gamma=90.00
Space group P4/mmm (No. 123)
Inequivalent atoms, fractional coordinates:
Pu 0.000 0.000 0.000 [1 per cell]
Ga 0.500 0.500 0.000 [1 per cell]
Sn 0.000 0.500 0.500 [2 per cell]

Model b:
PuGaSn2: optimized geometry, GGA-PBE.

## Properties
Crystal system: trigonal

Unit cell a=3.3941 b=3.3941 c=32.4834 alpha=90.00 beta=90.00 gamma=120.00
Space group R-3m (No. 166, hexagonal axes)
Inequivalent atoms, fractional coordinates:
Pu 0.0000 0.0000 0.0000 [3 per cell]
Ga 0.0000 0.0000 0.5000 [3 per cell]
Sn 0.0000 0.0000 0.0979 [6 per cell]

Model c:
PuGaSn2: optimized geometry, GGA-PBE.

## Properties
Crystal system: tetragonal

Unit cell a=3.811 b=3.811 c=6.724 alpha=90.00 beta=90.00 gamma=90.00
Space group P4/mmm (No. 123)
Inequivalent atoms, fractional coordinates:
Pu 0.000 0.000 0.000 [1 per cell]
Ga 0.000 0.000 0.500 [1 per cell]
Sn 0.500 0.500 0.280 [2 per cell]

Which of them is the most stable, and which is the least stable? model a and model b, in that order.